No. 1
Cu2Re2Mo: relaxed, PBE.

Summary:
The value obtained for the formation energy is 615.0 meV per atom. The calculation puts the magnetic moment at 0.0 μB/f.u. As for the energy above the most stable polymorph in this dataset: 24.5 meV per atom. Its volume is 14.8 Å³/atom.

Cell and atoms, written as CIF:
```
data_Cu2Re2Mo
_symmetry_space_group_name_H-M 'I 4/m m m'
_symmetry_Int_Tables_number 139
_symmetry_space_group_name_Hall '-I 4 2'
_cell_length_a 3.221
_cell_length_b 3.221
_cell_length_c 14.287
_cell_angle_alpha 90.00
_cell_angle_beta 90.00
_cell_angle_gamma 90.00
loop_
_atom_site_label
_atom_site_type_symbol
_atom_site_fract_x
_atom_site_fract_y
_atom_site_fract_z
_atom_site_occupancy
Cu1 Cu 0.000 0.500 0.250 1
Re1 Re 0.000 0.000 0.100 1
Mo1 Mo 0.000 0.000 0.500 1
```

***

No. 2
KNaTlSn: relaxed, PBE.

Summary:
The value obtained for the formation energy is -117.9 meV per atom. The calculation puts the magnetic moment at 0.0 μB/f.u. Its volume is 30.8 Å³/atom.

Cell and atoms, written as CIF:
```
data_KNaTlSn
_symmetry_space_group_name_H-M 'F -4 3 m'
_symmetry_Int_Tables_number 216
_symmetry_space_group_name_Hall 'F -4 2 3'
_cell_length_a 7.902
_cell_length_b 7.902
_cell_length_c 7.902
_cell_angle_alpha 90.00
_cell_angle_beta 90.00
_cell_angle_gamma 90.00
loop_
_atom_site_label
_atom_site_type_symbol
_atom_site_fract_x
_atom_site_fract_y
_atom_site_fract_z
_atom_site_occupancy
K1 K 0.000 0.000 0.000 1
Na1 Na 0.250 0.250 0.750 1
Tl1 Tl 0.250 0.250 0.250 1
Sn1 Sn 0.000 0.000 0.500 1
```

***

No. 3
Ba2TbBe2As4: relaxed, PBE.

Summary:
The value obtained for the formation energy is -854.0 meV per atom. The calculation puts the magnetic moment at 0.0 μB/f.u. Its volume is 24.8 Å³/atom.

Cell and atoms, written as CIF:
```
data_Ba2TbBe2As4
_symmetry_space_group_name_H-M 'C 1 2/m 1'
_symmetry_Int_Tables_number 12
_cell_length_a 15.417
_cell_length_b 4.115
_cell_length_c 7.505
_cell_angle_alpha 90.00
_cell_angle_beta 110.25
_cell_angle_gamma 90.00
loop_
_symmetry_equiv_pos_as_xyz
'x,y,z'
'-x,-y,-z'
'-x,y,-z'
'x,-y,z'
'x+1/2,y+1/2,z'
'-x+1/2,-y+1/2,-z'
'-x+1/2,y+1/2,-z'
'x+1/2,-y+1/2,z'
loop_
_atom_site_label
_atom_site_type_symbol
_atom_site_fract_x
_atom_site_fract_y
_atom_site_fract_z
_atom_site_occupancy
Ba1 Ba 0.138 0.000 0.076 1
Tb1 Tb 0.000 0.000 0.500 1
Be1 Be 0.173 0.500 0.477 1
As1 As 0.023 0.500 0.253 1
As2 As 0.203 0.000 0.656 1
```

***

No. 4
Fe3HW: relaxed, PBE.

Summary:
The calculation puts the magnetic moment at 4.6 μB/f.u. As for the energy above the most stable polymorph in this dataset: 788.2 meV per atom. Its volume is 15.3 Å³/atom.

Cell and atoms, written as CIF:
```
data_Fe3HW
_symmetry_space_group_name_H-M 'C m c m'
_symmetry_Int_Tables_number 63
_symmetry_space_group_name_Hall '-C 2c 2'
_cell_length_a 6.017
_cell_length_b 11.399
_cell_length_c 4.471
_cell_angle_alpha 90.00
_cell_angle_beta 90.00
_cell_angle_gamma 90.00
loop_
_atom_site_label
_atom_site_type_symbol
_atom_site_fract_x
_atom_site_fract_y
_atom_site_fract_z
_atom_site_occupancy
Fe1 Fe 0.000 0.000 0.000 1
Fe2 Fe 0.197 0.163 0.250 1
H1 H 0.000 0.364 0.750 1
W1 W 0.000 0.197 0.750 1
```

***

No. 5
SnTeMoN2: relaxed, PBE.

Summary:
The energy relative to the elements, uncorrected comes out at 0.546 eV/atom. The calculation puts the magnetic moment at 0.0 μB/f.u. As for the energy above the most stable polymorph in this dataset: 0.0 meV per atom. Its volume is 18.6 Å³/atom.

Cell and atoms, written as CIF:
```
data_SnTeMoN2
_symmetry_space_group_name_H-M 'P 4/m m m'
_symmetry_Int_Tables_number 123
_symmetry_space_group_name_Hall '-P 4 2'
_cell_length_a 4.080
_cell_length_b 4.080
_cell_length_c 5.602
_cell_angle_alpha 90.00
_cell_angle_beta 90.00
_cell_angle_gamma 90.00
loop_
_atom_site_label
_atom_site_type_symbol
_atom_site_fract_x
_atom_site_fract_y
_atom_site_fract_z
_atom_site_occupancy
Sn1 Sn 0.000 0.000 0.000 1
Te1 Te 0.500 0.500 0.000 1
Mo1 Mo 0.500 0.500 0.500 1
N1 N 0.000 0.500 0.500 1
```

***

No. 6
Tl2Bi2Se: relaxed, PBE.

Summary:
The energy relative to the elements, uncorrected comes out at 0.177 eV/atom. The calculation puts the magnetic moment at 0.0 μB/f.u. As for the energy above the most stable polymorph in this dataset: 202.2 meV per atom. Its volume is 34.0 Å³/atom.

Cell and atoms, written as CIF:
```
data_Tl2Bi2Se
_symmetry_space_group_name_H-M 'P 4/m b m'
_symmetry_Int_Tables_number 127
_symmetry_space_group_name_Hall '-P 4 2ab'
_cell_length_a 8.178
_cell_length_b 8.178
_cell_length_c 5.085
_cell_angle_alpha 90.00
_cell_angle_beta 90.00
_cell_angle_gamma 90.00
loop_
_atom_site_label
_atom_site_type_symbol
_atom_site_fract_x
_atom_site_fract_y
_atom_site_fract_z
_atom_site_occupancy
Tl1 Tl 0.173 0.327 0.000 1
Bi1 Bi 0.125 0.625 0.500 1
Se1 Se 0.000 0.000 0.000 1
```

***

No. 7
Ni2SeBr: relaxed, PBE.

Summary:
The energy relative to the elements, uncorrected comes out at 0.203 eV/atom. The calculation puts the magnetic moment at 1.0 μB/f.u. As for the energy above the most stable polymorph in this dataset: 343.3 meV per atom. Its volume is 22.8 Å³/atom.

Cell and atoms, written as CIF:
```
data_Ni2SeBr
_symmetry_space_group_name_H-M 'I m m m'
_symmetry_Int_Tables_number 71
_symmetry_space_group_name_Hall '-I 2 2'
_cell_length_a 3.373
_cell_length_b 6.927
_cell_length_c 7.817
_cell_angle_alpha 90.00
_cell_angle_beta 90.00
_cell_angle_gamma 90.00
loop_
_atom_site_label
_atom_site_type_symbol
_atom_site_fract_x
_atom_site_fract_y
_atom_site_fract_z
_atom_site_occupancy
Ni1 Ni 0.000 0.224 0.000 1
Se1 Se 0.000 0.500 0.500 1
Br1 Br 0.000 0.000 0.500 1
```

***

No. 8
Nd2Si2Pt3: relaxed, PBE.

Summary:
The energy relative to the elements, uncorrected comes out at -1.025 eV/atom. The calculation puts the magnetic moment at 0.0 μB/f.u. Its volume is 19.3 Å³/atom.

Cell and atoms, written as CIF:
```
data_Nd2Si2Pt3
_symmetry_space_group_name_H-M 'C 1 2/m 1'
_symmetry_Int_Tables_number 12
_cell_length_a 10.652
_cell_length_b 3.944
_cell_length_c 7.171
_cell_angle_alpha 90.00
_cell_angle_beta 116.26
_cell_angle_gamma 90.00
loop_
_symmetry_equiv_pos_as_xyz
'x,y,z'
'-x,-y,-z'
'-x,y,-z'
'x,-y,z'
'x+1/2,y+1/2,z'
'-x+1/2,-y+1/2,-z'
'-x+1/2,y+1/2,-z'
'x+1/2,-y+1/2,z'
loop_
_atom_site_label
_atom_site_type_symbol
_atom_site_fract_x
_atom_site_fract_y
_atom_site_fract_z
_atom_site_occupancy
Nd1 Nd 0.135 0.000 0.270 1
Si1 Si 0.150 0.000 0.725 1
Pt1 Pt 0.000 0.500 0.500 1
Pt2 Pt 0.129 0.500 0.933 1
```

***

The highest volume belongs to which entry? Tl2Bi2Se

***

Copy entry 6 word for word.
Tl2Bi2Se: relaxed, PBE.

Summary:
The energy relative to the elements, uncorrected comes out at 0.177 eV/atom. The calculation puts the magnetic moment at 0.0 μB/f.u. As for the energy above the most stable polymorph in this dataset: 202.2 meV per atom. Its volume is 34.0 Å³/atom.

Cell and atoms, written as CIF:
```
data_Tl2Bi2Se
_symmetry_space_group_name_H-M 'P 4/m b m'
_symmetry_Int_Tables_number 127
_symmetry_space_group_name_Hall '-P 4 2ab'
_cell_length_a 8.178
_cell_length_b 8.178
_cell_length_c 5.085
_cell_angle_alpha 90.00
_cell_angle_beta 90.00
_cell_angle_gamma 90.00
loop_
_atom_site_label
_atom_site_type_symbol
_atom_site_fract_x
_atom_site_fract_y
_atom_site_fract_z
_atom_site_occupancy
Tl1 Tl 0.173 0.327 0.000 1
Bi1 Bi 0.125 0.625 0.500 1
Se1 Se 0.000 0.000 0.000 1
```

***

Among the records above, which one has the lowest volume? Cu2Re2Mo

***

volume of number 4 (Fe3HW)? 15.3 Å³/atom